[1]
# Os3C PBEsol relaxed
# ΔH_f (0 K) ... 629 meV/atom
# VASP energy ... -131.32 eV for the cell shown
# N(E_F) ... 9.5 states/eV/cell
data_Os3C
_cell_length_a 2.7415
_cell_length_b 2.7415
_cell_length_c 22.0879
_cell_angle_alpha 90.00
_cell_angle_beta 90.00
_cell_angle_gamma 120.00
_symmetry_space_group_name_H-M 'R -3 m'
_symmetry_Int_Tables_number 166
_symmetry_space_group_name_Hall '-R 3 2"'
loop_
_atom_site_label
_atom_site_fract_x
_atom_site_fract_y
_atom_site_fract_z
Os1 0.0000 0.0000 0.0000
Os2 0.0000 0.0000 0.2322
C1 0.0000 0.0000 0.5000

[2]
# OsC PBEsol relaxed
# ΔH_f (0 K) ... 1475 meV/atom
# VASP energy ... -75.64 eV for the cell shown
# N(E_F) ... 9.1 states/eV/cell
data_OsC
_cell_length_a 2.881
_cell_length_b 2.881
_cell_length_c 11.078
_cell_angle_alpha 90.00
_cell_angle_beta 90.00
_cell_angle_gamma 90.00
_symmetry_space_group_name_H-M 'I 41/a m d'
_symmetry_Int_Tables_number 141
loop_
_symmetry_equiv_pos_as_xyz
'x,y,z'
'-x,-y,-z'
'-y+1/4,x+3/4,z+1/4'
'y+1/4,-x+3/4,-z+1/4'
'-x+1/2,-y,z+1/2'
'x+1/2,y,-z+1/2'
'y+1/4,-x+1/4,z+3/4'
'-y+1/4,x+1/4,-z+3/4'
'x,-y,-z'
'-x,y,z'
'-y+1/4,-x+1/4,-z+3/4'
'y+1/4,x+1/4,z+3/4'
'-x+1/2,y,-z+1/2'
'x+1/2,-y,z+1/2'
'y+1/4,x+3/4,-z+1/4'
'-y+1/4,-x+3/4,z+1/4'
'x+1/2,y+1/2,z+1/2'
'-x+1/2,-y+1/2,-z+1/2'
'-y+3/4,x+1/4,z+3/4'
'y+3/4,-x+1/4,-z+3/4'
'-x,-y+1/2,z'
'x,y+1/2,-z'
'y+3/4,-x+3/4,z+1/4'
'-y+3/4,x+3/4,-z+1/4'
'x+1/2,-y+1/2,-z+1/2'
'-x+1/2,y+1/2,z+1/2'
'-y+3/4,-x+3/4,-z+1/4'
'y+3/4,x+3/4,z+1/4'
'-x,y+1/2,-z'
'x,-y+1/2,z'
'y+3/4,x+1/4,-z+3/4'
'-y+3/4,-x+1/4,z+3/4'
loop_
_atom_site_label
_atom_site_fract_x
_atom_site_fract_y
_atom_site_fract_z
Os1 0.000 0.250 0.375
C1 0.000 0.250 0.875

[3]
# OsC PBEsol relaxed
# ΔH_f (0 K) ... 1392 meV/atom
# VASP energy ... -19.08 eV for the cell shown
# N(E_F) ... 1.2 states/eV/cell
data_OsC
_cell_length_a 2.675
_cell_length_b 2.675
_cell_length_c 2.675
_cell_angle_alpha 90.00
_cell_angle_beta 90.00
_cell_angle_gamma 90.00
_symmetry_space_group_name_H-M 'P m -3 m'
_symmetry_Int_Tables_number 221
_symmetry_space_group_name_Hall '-P 4 2 3'
loop_
_atom_site_label
_atom_site_fract_x
_atom_site_fract_y
_atom_site_fract_z
Os1 0.000 0.000 0.000
C1 0.500 0.500 0.500

[4]
# OsC PBEsol relaxed
# ΔH_f (0 K) ... 903 meV/atom
# VASP energy ... -60.16 eV for the cell shown
# N(E_F) ... 3.7 states/eV/cell
data_OsC
_cell_length_a 4.073
_cell_length_b 4.073
_cell_length_c 4.073
_cell_angle_alpha 90.00
_cell_angle_beta 90.00
_cell_angle_gamma 90.00
_symmetry_space_group_name_H-M 'P m -3 m'
_symmetry_Int_Tables_number 221
_symmetry_space_group_name_Hall '-P 4 2 3'
loop_
_atom_site_label
_atom_site_fract_x
_atom_site_fract_y
_atom_site_fract_z
Os1 0.000 0.000 0.500
C1 0.000 0.500 0.500

no.,magnetic moment (μB/f.u.)
1,0.000
2,0.000
3,0.000
4,0.000